No. 1
Here is crystalline NaNd4Er3Te8 at its relaxed geometry from Alexandria. Energies are from PBE-GGA.

The calculation puts the density of states at the Fermi level at 24.4 states/eV per cell. The value obtained for the formation energy (no corrections) is -1333 meV/atom.

The space group is R-3m (No. 166, hexagonal axes) and the conventional cell measures 8.7998, 8.7998 and 21.9615 Å, with angles of 90.00, 90.00 and 120.00 degrees. The asymmetric unit holds Na at (0.0000, 0.0000, 0.0000), Nd at (0.0000, 0.0000, 0.5000), Nd at (0.0000, 0.5000, 0.5000), Er at (0.0000, 0.5000, 0.0000), Te at (0.0000, 0.0000, 0.2550) and Te at (0.0013, 0.5006, 0.2547).

***

No. 2
Here is crystalline NaNdEr2Te4 at its relaxed geometry from Alexandria. Energies are from PBE-GGA.

The calculation puts the density of states at the Fermi level at 2.9 states/eV per cell. The value obtained for the formation energy (no corrections) is -1311 meV/atom.

The space group is P2/m (No. 10) and the conventional cell measures 7.668, 4.362 and 7.700 Å, with angles of 90.00, 108.78 and 90.00 degrees. The asymmetric unit holds Na at (0.000, 0.000, 0.000), Nd at (0.500, 0.500, 0.000), Er at (0.000, 0.500, 0.500), Er at (0.500, 0.000, 0.500), Te at (0.242, 0.000, 0.738) and Te at (0.252, 0.500, 0.262).

***

No. 3
Here is crystalline Na3NdEr2Te6 at its relaxed geometry from Alexandria. Energies are from PBE-GGA.

The value obtained for the formation energy (no corrections) is -1310 meV/atom.

The space group is C2/m (No. 12) and the conventional cell measures 7.708, 13.352 and 7.994 Å, with angles of 90.00, 108.79 and 90.00 degrees. The asymmetric unit holds Na at (0.000, 0.000, 0.000), Na at (0.000, 0.336, 0.000), Nd at (0.000, 0.500, 0.500), Er at (0.000, 0.167, 0.500), Te at (0.235, 0.000, 0.733) and Te at (0.249, 0.329, 0.733).

***

No. 4
Here is crystalline NaNd2Er3Te6 at its relaxed geometry from Alexandria. Energies are from PBE-GGA.

The calculation puts the density of states at the Fermi level at 7.6 states/eV per cell. The value obtained for the formation energy (no corrections) is -1325 meV/atom.

The space group is C2/m (No. 12) and the conventional cell measures 19.365, 4.369 and 8.919 Å, with angles of 90.00, 104.18 and 90.00 degrees. The asymmetric unit holds Na at (0.000, 0.000, 0.000), Nd at (0.172, 0.500, 0.347), Er at (0.000, 0.000, 0.500), Er at (0.167, 0.500, 0.829), Te at (0.001, 0.500, 0.745), Te at (0.161, 0.000, 0.593) and Te at (0.169, 0.000, 0.076).

***

No. 5
Here is crystalline NaNd2ErTe4 at its relaxed geometry from Alexandria. Energies are from PBE-GGA.

The calculation puts the density of states at the Fermi level at 3.3 states/eV per cell. The value obtained for the formation energy (no corrections) is -1340 meV/atom.

The space group is P2/m (No. 10) and the conventional cell measures 7.715, 4.419 and 7.753 Å, with angles of 90.00, 108.90 and 90.00 degrees. The asymmetric unit holds Na at (0.000, 0.000, 0.000), Nd at (0.000, 0.500, 0.500), Nd at (0.500, 0.000, 0.500), Er at (0.500, 0.500, 0.000), Te at (0.252, 0.500, 0.242) and Te at (0.257, 0.000, 0.763).

***

No. 6
Here is crystalline NaEr2Ni at its relaxed geometry from Alexandria. Energies are from PBE-GGA.

The energy relative to the elements is -0.03 eV per atom. The calculation puts the density of states at the Fermi level at 5.3 states/eV per cell. The energy above the most stable polymorph in this dataset is 90 meV per atom.

The space group is R-3m (No. 166, hexagonal axes) and the conventional cell measures 3.8654, 3.8654 and 30.4614 Å, with angles of 90.00, 90.00 and 120.00 degrees. The asymmetric unit holds Na at (0.0000, 0.0000, 0.0000), Er at (0.0000, 0.0000, 0.1202) and Ni at (0.0000, 0.0000, 0.5000).

***

No. 7
Here is crystalline NaEr2Ni at its relaxed geometry from Alexandria. Energies are from PBE-GGA.

The energy relative to the elements is -0.12 eV per atom. The calculation puts the density of states at the Fermi level at 2.6 states/eV per cell. The energy above the most stable polymorph in this dataset is 0 meV per atom.

The space group is P4/mmm (No. 123) and the conventional cell measures 3.340, 3.340 and 9.470 Å, with angles of 90.00, 90.00 and 90.00 degrees. The asymmetric unit holds Na at (0.000, 0.000, 0.000), Er at (0.500, 0.500, 0.331) and Ni at (0.000, 0.000, 0.500).

***

No. 8
Here is crystalline NaErNi4 at its relaxed geometry from Alexandria. Energies are from PBE-GGA.

The energy relative to the elements is -0.18 eV per atom. The calculation puts the density of states at the Fermi level at 24.2 states/eV per cell.

The space group is F-43m (No. 216) and the conventional cell measures 7.029, 7.029 and 7.029 Å, with angles of 90.00, 90.00 and 90.00 degrees. The asymmetric unit holds Na at (0.000, 0.000, 0.000), Er at (0.250, 0.250, 0.750) and Ni at (0.125, 0.125, 0.375).

***

no.,total moment (μB/atom)
1,0.000
2,0.000
3,0.000
4,0.000
5,0.000
6,0.000
7,0.000
8,0.000